# Ho2ErMg3Ir2Pd

An optimized crystal structure of Ho2ErMg3Ir2Pd (PBE, OQMD).

Cell: 4.0032 7.3176 7.3176 Å, 119.96 90.00 90.00°
Atoms (fractional coordinates):
Ho1 0.0000 0.2080 0.7920
Ho2 0.0000 0.7920 0.2080
Er1 0.0000 0.3764 0.3764
Mg1 0.5000 0.0415 0.0415
Mg2 0.5000 0.5427 0.7917
Mg3 0.5000 0.7917 0.5427
Ir1 0.5000 0.1260 0.4584
Ir2 0.5000 0.4584 0.1260
Pd1 0.0000 0.7915 0.7915

Output
Calculated total energy (eV per formula unit): -47.636
Density (g/cm³): 9.5


# Ho2ErNiSn3Ir2

An optimized crystal structure of Ho2ErNiSn3Ir2 (PBE, OQMD).

Cell: 3.7012 7.5866 7.5866 Å, 119.80 90.00 90.00°
Atoms (fractional coordinates):
Ho1 0.0000 0.2044 0.7956
Ho2 0.0000 0.7956 0.2044
Er1 0.0000 0.3869 0.3869
Ni1 0.0000 0.7944 0.7944
Sn1 0.5000 0.0532 0.0532
Sn2 0.5000 0.5385 0.7938
Sn3 0.5000 0.7938 0.5385
Ir1 0.5000 0.1311 0.4613
Ir2 0.5000 0.4613 0.1311

Output
Calculated total energy (eV per formula unit): -56.205
Density (g/cm³): 11.6


# Ho2ErZn3NiIr2

An optimized crystal structure of Ho2ErZn3NiIr2 (PBE, OQMD).

Cell: 3.8499 7.0584 7.0584 Å, 119.92 90.00 90.00°
Atoms (fractional coordinates):
Ho1 0.0000 0.2035 0.7965
Ho2 0.0000 0.7965 0.2035
Er1 0.0000 0.3904 0.3904
Zn1 0.5000 0.0359 0.0359
Zn2 0.5000 0.5570 0.7961
Zn3 0.5000 0.7961 0.5570
Ni1 0.0000 0.7958 0.7958
Ir1 0.5000 0.1307 0.4628
Ir2 0.5000 0.4628 0.1307

Output
Calculated total energy (eV per formula unit): -46.628
Density (g/cm³): 11.4
Energy relative to the elements (eV per formula unit): -5.8


# HoEr2Sn3IrPd2

An optimized crystal structure of HoEr2Sn3IrPd2 (PBE, OQMD).

Cell: 3.8306 7.6184 7.6184 Å, 120.02 90.00 90.00°
Atoms (fractional coordinates):
Ho1 0.0000 0.0000 0.0000
Er1 0.0000 0.3989 0.7974
Er2 0.0000 0.7974 0.3989
Sn1 0.5000 0.1372 0.3990
Sn2 0.5000 0.3990 0.1372
Sn3 0.5000 0.6609 0.6609
Ir1 0.0000 0.3995 0.3995
Pd1 0.5000 0.0659 0.7314
Pd2 0.5000 0.7314 0.0659

Output
Calculated total energy (eV per formula unit): -53.188
Density (g/cm³): 10.9


# Ho2ErZn3Ir2Pt

An optimized crystal structure of Ho2ErZn3Ir2Pt (PBE, OQMD).

Cell: 3.8720 7.1564 7.1564 Å, 119.89 90.00 90.00°
Atoms (fractional coordinates):
Ho1 0.0000 0.2036 0.7964
Ho2 0.0000 0.7964 0.2036
Er1 0.0000 0.3900 0.3900
Zn1 0.5000 0.0509 0.0509
Zn2 0.5000 0.5416 0.7963
Zn3 0.5000 0.7963 0.5416
Ir1 0.5000 0.1307 0.4625
Ir2 0.5000 0.4625 0.1307
Pt1 0.0000 0.7956 0.7956

Output
Calculated total energy (eV per formula unit): -48.537
Density (g/cm³): 12.3
Energy relative to the elements (eV per formula unit): -7.3


# HoErSn2Ir4

An optimized crystal structure of HoErSn2Ir4 (PBE, OQMD).

Cell: 4.4953 4.4953 8.9872 Å, 90.00 90.00 120.00°
Atoms (fractional coordinates):
Ho1 0.0000 0.0000 0.0000
Er1 0.6667 0.3333 0.5000
Sn1 0.3333 0.6667 0.2504
Sn2 0.3333 0.6667 0.7496
Ir1 0.0000 0.0000 0.3498
Ir2 0.0000 0.0000 0.6502
Ir3 0.6667 0.3333 0.1512
Ir4 0.6667 0.3333 0.8488

Output
Calculated total energy (eV per formula unit): -57.186
Density (g/cm³): 14.1


- What is the formula in the fourth record?
  HoEr2Sn3IrPd2


- What is the calculated total energy in the second record?
  -56.205 eV per formula unit